Record 1
# AlAu2 (SCAN, PBEsol geometry)
data_AlAu2
_chemical_formula_sum 'Al4 Au8'
_symmetry_space_group_name_H-M 'I 4/m c m'
_symmetry_Int_Tables_number 140
_symmetry_space_group_name_Hall '-I 4 2c'
_cell_length_a 5.514
_cell_length_b 5.514
_cell_length_c 6.886
_cell_angle_alpha 90.00
_cell_angle_beta 90.00
_cell_angle_gamma 90.00
loop_
_atom_site_label
_atom_site_type_symbol
_atom_site_fract_x
_atom_site_fract_y
_atom_site_fract_z
_atom_site_occupancy
Al1 Al 0.000 0.000 0.250 1
Au1 Au 0.177 0.323 0.000 1
# ΔE_f	-393	meV per atom
# size of the total moment	0.00	μB/atom

Record 2
# AlAu4 (SCAN, PBEsol geometry)
data_AlAu4
_chemical_formula_sum 'Al2 Au8'
_symmetry_space_group_name_H-M 'C 1 2/m 1'
_symmetry_Int_Tables_number 12
_symmetry_space_group_name_Hall '-C 2y'
_cell_length_a 5.112
_cell_length_b 2.979
_cell_length_c 11.051
_cell_angle_alpha 90.00
_cell_angle_beta 98.54
_cell_angle_gamma 90.00
loop_
_atom_site_label
_atom_site_type_symbol
_atom_site_fract_x
_atom_site_fract_y
_atom_site_fract_z
_atom_site_occupancy
Al1 Al 0.000 0.000 0.000 1
Au1 Au 0.109 0.500 0.819 1
Au2 Au 0.202 0.000 0.605 1
# ΔE_f	-229	meV per atom
# energy relative to the lowest polymorph listed for this composition	0.070	eV/atom
# size of the total moment	0.00	μB/atom